Entry 1:
Material: BeSiTe4
Method: DFT, PBE-GGA
State: optimized geometry

Summary:
- Energy relative to the elements, uncorrected: 1.07 eV/atom
- E: -2.55 eV per atom
- Size of the total moment: 0.000 μB per atom

Lattice parameters (Å, degrees): 6.262 6.262 6.262 60.00 60.00 60.00
Sites, in units of the cell vectors:
Te1 0.875 0.375 0.375
Te2 0.375 0.375 0.375
Te3 0.375 0.375 0.875
Te4 0.375 0.875 0.375
Be1 0.750 0.750 0.750
Si1 0.000 0.000 0.000

***

Entry 2:
Material: BeSi2Te
Method: DFT, PBE-GGA
State: optimized geometry

Summary:
- E above lowest polymorph: 1.82 eV per formula unit
- Energy relative to the elements, uncorrected: 0.60 eV/atom
- E: -3.83 eV per atom
- Size of the total moment: 0.000 μB per atom

Lattice parameters (Å, degrees): 5.730 3.567 3.567 90.00 90.00 90.00
Sites, in units of the cell vectors:
Si1 0.000 0.000 0.000
Si2 0.000 0.500 0.500
Be1 0.500 0.000 0.500
Te1 0.500 0.500 0.000

***

Entry 3:
Material: BeSiTe2
Method: DFT, PBE-GGA
State: optimized geometry

Summary:
- E above lowest polymorph: 2.27 eV per formula unit
- Energy relative to the elements, uncorrected: 0.66 eV/atom
- E: -3.20 eV per atom
- Size of the total moment: 0.000 μB per atom

Lattice parameters (Å, degrees): 4.896 4.896 4.896 60.00 60.00 60.00
Sites, in units of the cell vectors:
Si1 0.500 0.500 0.500
Be1 0.000 0.000 0.000
Te1 0.750 0.750 0.750
Te2 0.250 0.250 0.250

***

Entry 4:
Material: BeSiTe2
Method: DFT, PBE-GGA
State: optimized geometry

Summary:
- E above lowest polymorph: 1.82 eV per formula unit
- Energy relative to the elements, uncorrected: 0.55 eV/atom
- E: -3.31 eV per atom
- Size of the total moment: 0.000 μB per atom

Lattice parameters (Å, degrees): 3.758 7.850 3.770 90.00 90.00 90.00
Sites, in units of the cell vectors:
Te1 0.500 0.500 0.000
Te2 0.000 0.000 0.000
Si1 0.000 0.500 0.500
Be1 0.500 0.000 0.500

***

Entry 5:
Material: BeSi2Te
Method: DFT, PBE-GGA
State: optimized geometry

Summary:
- E above lowest polymorph: 1.12 eV per formula unit
- Energy relative to the elements, uncorrected: 0.43 eV/atom
- E: -4.00 eV per atom
- Size of the total moment: 0.000 μB per atom

Lattice parameters (Å, degrees): 6.333 6.333 6.333 33.95 33.95 33.95
Sites, in units of the cell vectors:
Be1 0.750 0.750 0.750
Te1 0.250 0.250 0.250
Si1 0.028 0.028 0.028
Si2 0.472 0.472 0.472

***

Entry 6:
Material: Be3SiTe
Method: DFT, PBE-GGA
State: optimized geometry

Summary:
- E above lowest polymorph: 4.19 eV per formula unit
- Energy relative to the elements, uncorrected: 1.49 eV/atom
- E: -2.45 eV per atom
- Size of the total moment: 0.000 μB per atom

Lattice parameters (Å, degrees): 4.629 4.629 4.629 90.00 90.00 90.00
Sites, in units of the cell vectors:
Be1 0.500 0.000 0.000
Be2 0.000 0.000 0.500
Be3 0.000 0.500 0.000
Te1 0.000 0.000 0.000
Si1 0.500 0.500 0.500

***

Entry 7:
Material: BeSi4Te
Method: DFT, PBE-GGA
State: optimized geometry

Summary:
- Energy relative to the elements, uncorrected: 0.78 eV/atom
- E: -3.98 eV per atom
- Size of the total moment: 0.000 μB per atom

Lattice parameters (Å, degrees): 5.231 5.231 5.231 60.00 60.00 60.00
Sites, in units of the cell vectors:
Si1 0.879 0.374 0.374
Si2 0.374 0.374 0.879
Si3 0.374 0.374 0.374
Si4 0.374 0.879 0.374
Te1 0.750 0.750 0.750
Be1 0.000 0.000 0.000

***

Entry 8:
Material: BeSiTe2
Method: DFT, PBE-GGA
State: optimized geometry

Summary:
- E above lowest polymorph: 2.22 eV per formula unit
- Energy relative to the elements, uncorrected: 0.65 eV/atom
- E: -3.21 eV per atom
- Size of the total moment: 0.000 μB per atom

Lattice parameters (Å, degrees): 3.442 3.442 6.899 90.00 90.00 90.00
Sites, in units of the cell vectors:
Si1 0.500 0.500 0.750
Be1 0.500 0.500 0.250
Te1 0.000 0.000 0.484
Te2 0.000 0.000 0.016